First-principles (GGA-PBE) data for an optimized crystal structure of LiAgB4, as listed in OQMD via LeMat-Bulk.

Calculated values
The calculation puts the final energy at -5.01 eV per atom. The volume is 57.3 Å³/f.u.

a b c (Å): 3.0093 3.0093 7.3110
angles (deg): 90.00 90.00 120.00
With the nearest neighbours (Å) after each atom.
Space group P6/mmm (No. 191)
Symmetry-distinct sites (fractional):
Li  0.0000  0.0000  0.0000  12 B 2.41
Ag  0.0000  0.0000  0.5000  12 B 2.64
B  0.3333  0.6667  0.2290  3 B 1.74